CuOsPt2 | GGA-PBEsol | optimized geometry

```
data_CuOsPt2
_chemical_formula_sum 'Cu1 Os1 Pt2'
_symmetry_space_group_name_H-M 'P 1'
_symmetry_Int_Tables_number 1
_symmetry_space_group_name_Hall 'P 1'
_cell_length_a 2.725
_cell_length_b 2.725
_cell_length_c 8.818
_cell_angle_alpha 81.11
_cell_angle_beta 81.11
_cell_angle_gamma 60.00
loop_
_atom_site_label
_atom_site_fract_x
_atom_site_fract_y
_atom_site_fract_z
Os1 0.000 0.000 0.000
Cu1 0.500 0.500 0.500
Pt1 0.248 0.248 0.255
Pt2 0.752 0.752 0.745
```

* energy: -7.578 eV/atom
* energy of formation from the pure elements: 0.17 eV/f.u.
* magnetic moment: 0.00 μB/f.u.
* Fermi-level density of states: 1.016 states/eV/atom

=====

CuReOs3 | GGA-PBEsol | optimized geometry

```
data_CuReOs3
_chemical_formula_sum 'Cu1 Re1 Os3'
_symmetry_space_group_name_H-M 'P 1'
_symmetry_Int_Tables_number 1
_symmetry_space_group_name_Hall 'P 1'
_cell_length_a 4.297
_cell_length_b 4.297
_cell_length_c 4.297
_cell_angle_alpha 90.00
_cell_angle_beta 90.00
_cell_angle_gamma 90.00
loop_
_atom_site_label
_atom_site_fract_x
_atom_site_fract_y
_atom_site_fract_z
Re1 0.500 0.500 0.500
Os1 0.000 0.500 0.000
Os2 0.000 0.000 0.500
Os3 0.500 0.000 0.000
Cu1 0.000 0.000 0.000
```

* energy: -8.646 eV/atom
* energy of formation from the pure elements: 11.08 eV/f.u.
* magnetic moment: 0.00 μB/f.u.
* Fermi-level density of states: 0.983 states/eV/atom

=====

Cu2ReOs | GGA-PBEsol | optimized geometry

```
data_Cu2ReOs
_chemical_formula_sum 'Cu2 Re1 Os1'
_symmetry_space_group_name_H-M 'P 1'
_symmetry_Int_Tables_number 1
_symmetry_space_group_name_Hall 'P 1'
_cell_length_a 3.755
_cell_length_b 3.755
_cell_length_c 4.513
_cell_angle_alpha 114.58
_cell_angle_beta 114.58
_cell_angle_gamma 90.00
loop_
_atom_site_label
_atom_site_fract_x
_atom_site_fract_y
_atom_site_fract_z
Re1 0.250 0.750 0.500
Cu1 0.750 0.250 0.500
Cu2 0.000 0.000 0.000
Os1 0.500 0.500 0.000
```

* energy: -8.280 eV/atom
* energy of formation from the pure elements: 1.09 eV/f.u.
* magnetic moment: 0.00 μB/f.u.
* Fermi-level density of states: 0.607 states/eV/atom

=====

Cu2ReOs | GGA-PBEsol | optimized geometry

```
data_Cu2ReOs
_chemical_formula_sum 'Cu2 Re1 Os1'
_symmetry_space_group_name_H-M 'P 1'
_symmetry_Int_Tables_number 1
_symmetry_space_group_name_Hall 'P 1'
_cell_length_a 2.646
_cell_length_b 2.646
_cell_length_c 8.780
_cell_angle_alpha 81.33
_cell_angle_beta 81.33
_cell_angle_gamma 60.00
loop_
_atom_site_label
_atom_site_fract_x
_atom_site_fract_y
_atom_site_fract_z
Cu1 0.250 0.250 0.251
Cu2 0.750 0.750 0.749
Re1 0.000 0.000 0.000
Os1 0.500 0.500 0.500
```

* energy: -8.211 eV/atom
* energy of formation from the pure elements: 1.37 eV/f.u.
* magnetic moment: 0.00 μB/f.u.
* Fermi-level density of states: 0.764 states/eV/atom

=====

CuOs2Rh | GGA-PBEsol | optimized geometry

```
data_CuOs2Rh
_chemical_formula_sum 'Cu1 Os2 Rh1'
_symmetry_space_group_name_H-M 'P 1'
_symmetry_Int_Tables_number 1
_symmetry_space_group_name_Hall 'P 1'
_cell_length_a 4.236
_cell_length_b 4.236
_cell_length_c 4.236
_cell_angle_alpha 60.00
_cell_angle_beta 60.00
_cell_angle_gamma 60.00
loop_
_atom_site_label
_atom_site_fract_x
_atom_site_fract_y
_atom_site_fract_z
Os1 0.250 0.250 0.250
Os2 0.750 0.750 0.750
Cu1 0.000 0.000 0.000
Rh1 0.500 0.500 0.500
```

* energy: -8.588 eV/atom
* energy of formation from the pure elements: 2.55 eV/f.u.
* magnetic moment: 0.57 μB/f.u.
* Fermi-level density of states: 1.638 states/eV/atom

=====

CuOs2Rh | GGA-PBEsol | optimized geometry

```
data_CuOs2Rh
_chemical_formula_sum 'Cu1 Os2 Rh1'
_symmetry_space_group_name_H-M 'P 1'
_symmetry_Int_Tables_number 1
_symmetry_space_group_name_Hall 'P 1'
_cell_length_a 3.697
_cell_length_b 3.697
_cell_length_c 3.916
_cell_angle_alpha 90.00
_cell_angle_beta 90.00
_cell_angle_gamma 90.00
loop_
_atom_site_label
_atom_site_fract_x
_atom_site_fract_y
_atom_site_fract_z
Rh1 0.500 0.500 0.500
Cu1 0.000 0.000 0.500
Os1 0.500 0.000 0.000
Os2 0.000 0.500 0.000
```

* energy: -8.815 eV/atom
* energy of formation from the pure elements: 1.64 eV/f.u.
* magnetic moment: 0.00 μB/f.u.
* Fermi-level density of states: 1.377 states/eV/atom